(1)
NpCuIrO6, optimized geometry, DFT PBE; formation energy (no corrections) = -1.48 eV per atom; VASP energy = -7.67 eV/atom
1.0
5.176 0.000 0.000
-2.588 4.483 0.000
0.000 0.000 9.092
Np Cu Ir O
2 2 2 12
Cartesian
0.000 2.989 2.273
2.588 1.494 6.819
0.000 2.989 6.819
2.588 1.494 2.273
0.000 0.000 0.000
0.000 0.000 4.546
-0.794 1.454 1.123
-1.726 3.068 3.423
0.794 1.454 3.423
-0.932 4.444 1.123
1.656 0.039 5.669
0.862 1.415 7.969
1.726 3.068 1.123
0.932 4.444 3.423
3.520 0.039 7.969
1.794 3.029 5.669
4.314 1.415 5.669
3.382 3.029 7.969



(2)
NpCu2IrO8, optimized geometry, DFT PBE; formation energy (no corrections) = -1.28 eV per atom; VASP energy = -7.09 eV/atom
1.0
4.883 0.000 0.000
0.000 6.144 0.000
-0.673 0.000 4.845
Np Cu Ir O
1 2 1 8
Cartesian
0.000 0.000 0.000
2.105 1.579 2.423
2.105 4.565 2.423
0.000 3.072 0.000
0.333 1.567 3.976
0.333 4.577 3.976
1.257 3.072 1.456
1.312 0.000 1.517
2.898 0.000 3.329
2.953 3.072 3.389
3.877 1.567 0.870
3.877 4.577 0.870